A relaxed structure of PmNdPu2. Source: Alexandria, functional PBE-GGA.

The total energy comes out at -0.6851 Ry/atom. As for the formation energy: 0.22 eV/atom.

It has space group P4/mmm (No. 123), with a = 4.9088 Å, b = 4.9088 Å, c = 5.0842 Å, α = 90.00°, β = 90.00° and γ = 90.00°. Symmetry generates all atoms from Pm at (0.0000, 0.0000, 0.0000), Nd at (0.5000, 0.5000, 0.0000) and Pu at (0.0000, 0.5000, 0.5000).